1.
VASP calculation (SCAN) on a crystal of LiMg2Cl relaxed with PBEsol.

Properties
distance to the lowest polymorph of the same formula	130.4	meV per atom
volume	177	Å³ per cell
D(E_F)	1.681	states/eV per cell
magnetization	0.0	μB per cell
electronic total energy	-44.1	eV/cell

Cell lengths 3.9683, 3.9683, 11.2110 Å; angles 90.00, 90.00, 90.00 degrees
With the nearest neighbours (Å) after each atom.
Space group I4/mmm (No. 139)
Symmetry-distinct sites (fractional):
Li (0.0000, 0.0000, 0.0000) (multiplicity 2)  4 Cl 2.81
Mg (0.0000, 0.5000, 0.2500) (multiplicity 4)  4 Mg 2.81
Cl (0.0000, 0.0000, 0.5000) (multiplicity 2)  4 Li 2.81


2.
VASP calculation (SCAN) on a crystal of Li2MgCl relaxed with PBEsol.

Properties
distance to the lowest polymorph of the same formula	0.0	meV per atom
volume	236	Å³ per cell
D(E_F)	2.543	states/eV per cell
magnetization	0.1	μB per cell
electronic total energy	-63.9	eV/cell

Cell lengths 3.3119, 3.3119, 24.8827 Å; angles 90.00, 90.00, 120.00 degrees
With the nearest neighbours (Å) after each atom.
Space group R-3m (No. 166, hexagonal axes)
Symmetry-distinct sites (fractional):
Li (0.0000, 0.0000, 0.2277) (multiplicity 6)  3 Cl 2.44
Mg (0.0000, 0.0000, 0.0000) (multiplicity 3)  6 Li 3.25, 6 Mg 3.31
Cl (0.0000, 0.0000, 0.5000) (multiplicity 3)  6 Li 2.44


3.
VASP calculation (SCAN) on a crystal of LiMg2Cl relaxed with PBEsol.

Properties
distance to the lowest polymorph of the same formula	178.7	meV per atom
volume	94	Å³ per cell
D(E_F)	1.013	states/eV per cell
magnetization	0.0	μB per cell
electronic total energy	-21.9	eV/cell

Cell lengths 3.9594, 3.9594, 6.0058 Å; angles 90.00, 90.00, 90.00 degrees
With the nearest neighbours (Å) after each atom.
Space group P4/mmm (No. 123)
Symmetry-distinct sites (fractional):
Li (0.0000, 0.0000, 0.0000) (multiplicity 1)  4 Cl 2.80
Mg (0.0000, 0.5000, 0.5000) (multiplicity 2)  4 Mg 2.80
Cl (0.5000, 0.5000, 0.0000) (multiplicity 1)  4 Li 2.80